Material: Cd2InRe
Method: DFT, PBE-GGA
State: relaxed

a = 3.5586 Å, b = 3.5586 Å, c = 6.2105 Å
α = 90.00°, β = 90.00°, γ = 90.00°
Closest atoms and distances in Å follow each position.
Element x y z (fractional)
Cd 0.0000 0.0000 0.9897  1 In 2.86, 4 Re 2.96, 4 Cd 2.97
Cd 0.5000 0.5000 0.2425  4 Cd 2.97, 2 Re 3.08-3.13, 4 In 3.08
Re 0.5000 0.5000 0.7383  4 In 2.83, 6 Cd 2.96-3.13
In 0.0000 0.0000 0.5294  4 Re 2.83, 5 Cd 2.86-3.08

## Properties
**Calculated density**: 11.103 Mg/m³
**Space group**: P4mm (99)
**Electronic total energy**: -14.66 eV for the cell shown